UNi2As2 PBE relaxed; crystal system = orthorhombic; E_form = -0.52 eV/atom; uncorrected energy = -6.948 eV per atom; size of the total moment = 2.34 μB per formula unit
1.0
2.950 -2.980 0.000
2.950 2.980 0.000
0.000 0.000 9.190
U Ni As
2 4 4
direct
0.250 0.750 0.753
0.750 0.250 0.247
0.250 0.250 0.000
0.250 0.750 0.382
0.750 0.250 0.618
0.750 0.750 0.000
0.250 0.250 0.500
0.250 0.750 0.131
0.750 0.250 0.869
0.750 0.750 0.500